SrAlCr2O8 | PBE with a Hubbard U | relaxed

a b c (Å): 5.388 5.388 6.785
angles (deg): 90.00 90.00 120.00
Positions (direct):
O: 0.682 0.836 0.673
O: 0.164 0.845 0.673
O: 0.845 0.682 0.327
O: 0.836 0.155 0.327
O: 0.333 0.667 0.992
Cr: 0.667 0.333 0.252
O: 0.667 0.333 0.008
O: 0.155 0.318 0.673
O: 0.318 0.164 0.327
Cr: 0.333 0.667 0.748
Sr: 0.000 0.000 0.000
Al: 0.000 0.000 0.500

VASP energy in eV per cell: -82.9
Total magnetic moment in μB per atom: 0.0833